DFT (PBE) results for a relaxed structure of Mg6AgIr3.

The space group is P2_1/m (No. 11) and the conventional cell measures 8.0734, 4.4693 and 9.5392 Å, with angles of 90.00, 102.51 and 90.00 degrees. Symmetry generates all atoms from Mg at (0.0339, 0.2500, 0.4058), Mg at (0.1267, 0.7500, 0.1895), Mg at (0.2256, 0.2500, 0.9797), Mg at (0.3179, 0.7500, 0.7802), Mg at (0.3355, 0.2500, 0.3027), Mg at (0.4317, 0.2500, 0.5967), Ag at (0.4516, 0.7500, 0.0964), Ir at (0.0417, 0.7500, 0.8954), Ir at (0.1450, 0.2500, 0.6946) and Ir at (0.2566, 0.7500, 0.4816).

Its density is 8.21 g/cm3. The value obtained for the total energy is -0.1537 hartree per atom.


DFT (PBE) results for a relaxed structure of Mg4Ag2Ir.

The space group is R-3m (No. 166, hexagonal axes) and the conventional cell measures 4.5605, 4.5605 and 22.3824 Å, with angles of 90.00, 90.00 and 120.00 degrees. Symmetry generates all atoms from Mg at (0.0000, 0.0000, 0.1250), Mg at (0.0000, 0.0000, 0.3736), Ag at (0.0000, 0.0000, 0.2523) and Ir at (0.0000, 0.0000, 0.0000).

Its density is 6.24 g/cm3. The value obtained for the total energy is -0.1180 hartree per atom.


DFT (PBE) results for a relaxed structure of MgAg2Ir2.

The space group is I4/mmm (No. 139) and the conventional cell measures 3.8381, 3.8381 and 12.6734 Å, with angles of 90.00, 90.00 and 90.00 degrees. Symmetry generates all atoms from Mg at (0.0000, 0.0000, 0.0000), Ag at (0.0000, 0.5000, 0.2500) and Ir at (0.0000, 0.0000, 0.4065).

Its density is 11.11 g/cm3. The value obtained for the total energy is -0.1653 hartree per atom.


DFT (PBE) results for a relaxed structure of Mg2AgIr.

The space group is I-4m2 (No. 119) and the conventional cell measures 3.9617, 3.9617 and 8.5526 Å, with angles of 90.00, 90.00 and 90.00 degrees. Symmetry generates all atoms from Mg at (0.0000, 0.0000, 0.0000), Mg at (0.0000, 0.5000, 0.2500), Ag at (0.0000, 0.5000, 0.7500) and Ir at (0.0000, 0.0000, 0.5000).

Its density is 8.63 g/cm3. The value obtained for the total energy is -0.1434 hartree per atom.


DFT (PBE) results for a relaxed structure of MgAgIr2.

The space group is P4mm (No. 99) and the conventional cell measures 2.8034, 2.8034 and 8.1479 Å, with angles of 90.00, 90.00 and 90.00 degrees. Symmetry generates all atoms from Mg at (0.0000, 0.0000, 0.0000), Ag at (0.5000, 0.5000, 0.2710), Ir at (0.0000, 0.0000, 0.5375) and Ir at (0.5000, 0.5000, 0.7552).

Its density is 13.40 g/cm3. The value obtained for the total energy is -0.2048 hartree per atom.


DFT (PBE) results for a relaxed structure of MgAgIr2.

The space group is P4/mmm (No. 123) and the conventional cell measures 3.8749, 3.8749 and 4.1809 Å, with angles of 90.00, 90.00 and 90.00 degrees. Symmetry generates all atoms from Mg at (0.0000, 0.0000, 0.0000), Ag at (0.5000, 0.5000, 0.0000) and Ir at (0.0000, 0.5000, 0.5000).

Its density is 13.67 g/cm3. The value obtained for the total energy is -0.2000 hartree per atom.